Entry 1:
# TbClO2 PBE-GGA optimized geometry
# * density: 5.306 g/cm3
# * total moment: 0.7 μB per formula unit
# * ΔE_f (raw): -706.5 kJ/mol of formula units
data_TbClO2
_cell_length_a 6.466
_cell_length_b 3.532
_cell_length_c 6.798
_cell_angle_alpha 90.00
_cell_angle_beta 114.12
_cell_angle_gamma 90.00
_symmetry_space_group_name_H-M 'P 1 21/m 1'
_symmetry_Int_Tables_number 11
_symmetry_space_group_name_Hall '-P 2yb'
loop_
_atom_site_label
_atom_site_type_symbol
_atom_site_fract_x
_atom_site_fract_y
_atom_site_fract_z
_atom_site_occupancy
Tb1 Tb 0.157 0.250 0.279 1
Cl1 Cl 0.487 0.750 0.280 1
O1 O 0.054 0.250 0.906 1
O2 O 0.059 0.750 0.528 1


Entry 2:
# Sr3CdHg PBE-GGA optimized geometry
# * excess energy over the best structure of this formula in the dataset: 0.38 eV/f.u.
# * density: 4.941 g/cm3
# * calculated formation energy: -1.407 eV per formula unit
# * total moment: 0.0 μB per formula unit
data_Sr3CdHg
_cell_length_a 12.660
_cell_length_b 12.567
_cell_length_c 9.737
_cell_angle_alpha 90.00
_cell_angle_beta 91.81
_cell_angle_gamma 90.00
_symmetry_space_group_name_H-M 'C 1 2/c 1'
_symmetry_Int_Tables_number 15
_symmetry_space_group_name_Hall '-C 2yc'
loop_
_atom_site_label
_atom_site_type_symbol
_atom_site_fract_x
_atom_site_fract_y
_atom_site_fract_z
_atom_site_occupancy
Sr1 Sr 0.069 0.118 0.081 1
Sr2 Sr 0.103 0.404 0.913 1
Sr3 Sr 0.246 0.179 0.679 1
Cd1 Cd 0.000 0.146 0.750 1
Cd2 Cd 0.000 0.362 0.250 1
Hg1 Hg 0.218 0.049 0.366 1


Entry 3:
# CaAcAgSe3 PBE-GGA optimized geometry
# * density: 6.109 g/cm3
# * total moment: 0.0 μB per formula unit
# * ΔE_f (raw): -893.0 kJ/mol of formula units
data_CaAcAgSe3
_cell_length_a 8.616
_cell_length_b 4.244
_cell_length_c 9.350
_cell_angle_alpha 90.00
_cell_angle_beta 103.37
_cell_angle_gamma 90.00
_symmetry_space_group_name_H-M 'P 1 21/m 1'
_symmetry_Int_Tables_number 11
_symmetry_space_group_name_Hall '-P 2yb'
loop_
_atom_site_label
_atom_site_type_symbol
_atom_site_fract_x
_atom_site_fract_y
_atom_site_fract_z
_atom_site_occupancy
Ca1 Ca 0.167 0.250 0.163 1
Ac1 Ac 0.310 0.750 0.765 1
Ag1 Ag 0.409 0.750 0.415 1
Se1 Se 0.075 0.250 0.840 1
Se2 Se 0.250 0.250 0.497 1
Se3 Se 0.408 0.750 0.129 1


Entry 4:
# Ce3Pm2SmBi6 PBE-GGA optimized geometry
# * density: 8.575 g/cm3
# * calculated formation energy: -10.412 eV per formula unit
# * total moment: 2.6 μB per formula unit
data_Ce3Pm2SmBi6
_cell_length_a 7.944
_cell_length_b 13.758
_cell_length_c 7.947
_cell_angle_alpha 90.00
_cell_angle_beta 109.47
_cell_angle_gamma 90.00
_symmetry_space_group_name_H-M 'C 1 2/m 1'
_symmetry_Int_Tables_number 12
_symmetry_space_group_name_Hall '-C 2y'
loop_
_atom_site_label
_atom_site_type_symbol
_atom_site_fract_x
_atom_site_fract_y
_atom_site_fract_z
_atom_site_occupancy
Ce1 Ce 0.000 0.000 0.000 1
Ce2 Ce 0.000 0.333 0.000 1
Pm1 Pm 0.000 0.166 0.500 1
Sm1 Sm 0.000 0.500 0.500 1
Bi1 Bi 0.249 0.334 0.750 1
Bi2 Bi 0.249 0.500 0.250 1


Entry 5:
# Rb2YHBr6 PBE-GGA optimized geometry
# * density: 3.755 g/cm3
# * DFT total energy: -3.45 eV/atom
# * total moment: 0.0 μB per formula unit
data_Rb2YHBr6
_cell_length_a 7.318
_cell_length_b 7.318
_cell_length_c 12.226
_cell_angle_alpha 90.00
_cell_angle_beta 90.00
_cell_angle_gamma 90.00
_symmetry_space_group_name_H-M 'I 4/m m m'
_symmetry_Int_Tables_number 139
_symmetry_space_group_name_Hall '-I 4 2'
loop_
_atom_site_label
_atom_site_type_symbol
_atom_site_fract_x
_atom_site_fract_y
_atom_site_fract_z
_atom_site_occupancy
Rb1 Rb 0.000 0.500 0.250 1
Y1 Y 0.000 0.000 0.000 1
H1 H 0.000 0.000 0.500 1
Br1 Br 0.000 0.000 0.228 1
Br2 Br 0.229 0.229 0.500 1


Entry 6:
# KMgBrF2 PBE-GGA optimized geometry
# * density: 3.137 g/cm3
# * total moment: 0.0 μB per formula unit
# * ΔE_f (raw): -1240.9 kJ/mol of formula units
data_KMgBrF2
_cell_length_a 4.211
_cell_length_b 4.211
_cell_length_c 5.411
_cell_angle_alpha 90.00
_cell_angle_beta 90.00
_cell_angle_gamma 90.00
_symmetry_space_group_name_H-M 'P 4/m m m'
_symmetry_Int_Tables_number 123
_symmetry_space_group_name_Hall '-P 4 2'
loop_
_atom_site_label
_atom_site_type_symbol
_atom_site_fract_x
_atom_site_fract_y
_atom_site_fract_z
_atom_site_occupancy
K1 K 0.000 0.000 0.000 1
Mg1 Mg 0.500 0.500 0.500 1
Br1 Br 0.500 0.500 0.000 1
F1 F 0.000 0.500 0.500 1


Entry 7:
# Tm5Zr3 PBE-GGA optimized geometry
# * density: 8.603 g/cm3
# * calculated formation energy: 0.556 eV per formula unit
# * total moment: 0.0 μB per formula unit
data_Tm5Zr3
_cell_length_a 4.745
_cell_length_b 4.745
_cell_length_c 9.587
_cell_angle_alpha 90.00
_cell_angle_beta 90.00
_cell_angle_gamma 90.00
_symmetry_space_group_name_H-M 'P 4 m m'
_symmetry_Int_Tables_number 99
_symmetry_space_group_name_Hall 'P 4 -2'
loop_
_atom_site_label
_atom_site_type_symbol
_atom_site_fract_x
_atom_site_fract_y
_atom_site_fract_z
_atom_site_occupancy
Tm1 Tm 0.000 0.000 0.000 1
Tm2 Tm 0.000 0.000 0.472 1
Tm3 Tm 0.000 0.500 0.747 1
Tm4 Tm 0.500 0.500 0.471 1
Zr1 Zr 0.000 0.500 0.233 1
Zr2 Zr 0.500 0.500 0.005 1


Entry 8:
# HfZr8In2 PBE-GGA optimized geometry
# * density: 7.319 g/cm3
# * calculated formation energy: 0.241 eV per formula unit
# * total moment: 0.0 μB per formula unit
data_HfZr8In2
_cell_length_a 7.932
_cell_length_b 14.069
_cell_length_c 5.329
_cell_angle_alpha 90.00
_cell_angle_beta 119.75
_cell_angle_gamma 90.00
_symmetry_space_group_name_H-M 'C 1 2/m 1'
_symmetry_Int_Tables_number 12
_symmetry_space_group_name_Hall '-C 2y'
loop_
_atom_site_label
_atom_site_type_symbol
_atom_site_fract_x
_atom_site_fract_y
_atom_site_fract_z
_atom_site_occupancy
Hf1 Hf 0.000 0.000 0.000 1
Zr1 Zr 0.000 0.211 0.000 1
Zr2 Zr 0.094 0.500 0.791 1
Zr3 Zr 0.210 0.110 0.662 1
In1 In 0.000 0.304 0.500 1


Entry 9:
# HfNbRe2 PBE-GGA optimized geometry
# * density: 14.545 g/cm3
# * calculated formation energy: 2.252 eV per formula unit
# * total moment: 0.0 μB per formula unit
data_HfNbRe2
_cell_length_a 7.302
_cell_length_b 7.302
_cell_length_c 5.514
_cell_angle_alpha 90.00
_cell_angle_beta 90.00
_cell_angle_gamma 90.00
_symmetry_space_group_name_H-M 'I -4 2 d'
_symmetry_Int_Tables_number 122
_symmetry_space_group_name_Hall 'I -4 2bw'
loop_
_atom_site_label
_atom_site_type_symbol
_atom_site_fract_x
_atom_site_fract_y
_atom_site_fract_z
_atom_site_occupancy
Hf1 Hf 0.000 0.000 0.000 1
Nb1 Nb 0.000 0.000 0.500 1
Re1 Re 0.236 0.250 0.625 1


Entry 10:
# Zr4FeRu PBE-GGA optimized geometry
# * density: 7.102 g/cm3
# * calculated formation energy: 4.097 eV per formula unit
# * total moment: 2.8 μB per formula unit
data_Zr4FeRu
_cell_length_a 7.873
_cell_length_b 7.873
_cell_length_c 7.873
_cell_angle_alpha 90.00
_cell_angle_beta 90.00
_cell_angle_gamma 90.00
_symmetry_space_group_name_H-M 'F -4 3 m'
_symmetry_Int_Tables_number 216
_symmetry_space_group_name_Hall 'F -4 2 3'
loop_
_atom_site_label
_atom_site_type_symbol
_atom_site_fract_x
_atom_site_fract_y
_atom_site_fract_z
_atom_site_occupancy
Zr1 Zr 0.124 0.124 0.376 1
Fe1 Fe 0.000 0.000 0.000 1
Ru1 Ru 0.250 0.250 0.750 1


Entry 11:
# CrFe2Ru PBE-GGA optimized geometry
# * density: 8.876 g/cm3
# * calculated formation energy: 0.678 eV per formula unit
# * total moment: 5.0 μB per formula unit
data_CrFe2Ru
_cell_length_a 2.539
_cell_length_b 4.122
_cell_length_c 4.837
_cell_angle_alpha 90.00
_cell_angle_beta 102.00
_cell_angle_gamma 90.00
_symmetry_space_group_name_H-M 'P 1 2/m 1'
_symmetry_Int_Tables_number 10
_symmetry_space_group_name_Hall '-P 2y'
loop_
_atom_site_label
_atom_site_type_symbol
_atom_site_fract_x
_atom_site_fract_y
_atom_site_fract_z
_atom_site_occupancy
Cr1 Cr 0.000 0.000 0.000 1
Fe1 Fe 0.227 0.500 0.758 1
Ru1 Ru 0.500 0.000 0.500 1


Entry 12:
# KCuCl2 PBE-GGA optimized geometry
# * excess energy over the best structure of this formula in the dataset: 0.21 eV/f.u.
# * density: 2.759 g/cm3
# * total moment: 0.0 μB per formula unit
# * ΔE_f (raw): -443.8 kJ/mol of formula units
data_KCuCl2
_cell_length_a 6.367
_cell_length_b 10.336
_cell_length_c 6.348
_cell_angle_alpha 90.00
_cell_angle_beta 90.00
_cell_angle_gamma 90.00
_symmetry_space_group_name_H-M 'P n a 21'
_symmetry_Int_Tables_number 33
_symmetry_space_group_name_Hall 'P 2c -2n'
loop_
_atom_site_label
_atom_site_type_symbol
_atom_site_fract_x
_atom_site_fract_y
_atom_site_fract_z
_atom_site_occupancy
K1 K 0.007 0.125 0.000 1
Cu1 Cu 0.063 0.375 0.563 1
Cl1 Cl 0.012 0.421 0.928 1
Cl2 Cl 0.076 0.829 0.992 1


Entry 13:
# CaY2ScTc PBE-GGA optimized geometry
# * density: 3.912 g/cm3
# * calculated formation energy: 0.277 eV per formula unit
# * total moment: 0.0 μB per formula unit
data_CaY2ScTc
_cell_length_a 5.449
_cell_length_b 5.449
_cell_length_c 5.158
_cell_angle_alpha 90.00
_cell_angle_beta 90.00
_cell_angle_gamma 90.00
_symmetry_space_group_name_H-M 'P 4/m m m'
_symmetry_Int_Tables_number 123
_symmetry_space_group_name_Hall '-P 4 2'
loop_
_atom_site_label
_atom_site_type_symbol
_atom_site_fract_x
_atom_site_fract_y
_atom_site_fract_z
_atom_site_occupancy
Ca1 Ca 0.000 0.000 0.000 1
Y1 Y 0.000 0.500 0.500 1
Sc1 Sc 0.500 0.500 0.000 1
Tc1 Tc 0.500 0.500 0.500 1


Entry 14:
# Na2PaCl5 PBE-GGA optimized geometry
# * excess energy over the best structure of this formula in the dataset: 0.00 eV/f.u.
# * density: 2.968 g/cm3
# * total moment: 2.0 μB per formula unit
# * ΔE_f (raw): -1332.9 kJ/mol of formula units
data_Na2PaCl5
_cell_length_a 11.054
_cell_length_b 12.038
_cell_length_c 3.820
_cell_angle_alpha 90.00
_cell_angle_beta 90.00
_cell_angle_gamma 90.00
_symmetry_space_group_name_H-M 'P b a m'
_symmetry_Int_Tables_number 55
_symmetry_space_group_name_Hall '-P 2 2ab'
loop_
_atom_site_label
_atom_site_type_symbol
_atom_site_fract_x
_atom_site_fract_y
_atom_site_fract_z
_atom_site_occupancy
Na1 Na 0.081 0.138 0.000 1
Pa1 Pa 0.000 0.500 0.500 1
Cl1 Cl 0.000 0.000 0.500 1
Cl2 Cl 0.120 0.306 0.500 1
Cl3 Cl 0.158 0.586 0.000 1


Entry 15:
# ScAg2SeBr PBE-GGA optimized geometry
# * density: 5.214 g/cm3
# * total moment: 1.0 μB per formula unit
# * ΔE_f (raw): -72.2 kJ/mol of formula units
data_ScAg2SeBr
_cell_length_a 5.085
_cell_length_b 5.085
_cell_length_c 5.167
_cell_angle_alpha 90.00
_cell_angle_beta 90.00
_cell_angle_gamma 90.00
_symmetry_space_group_name_H-M 'P 4/m m m'
_symmetry_Int_Tables_number 123
_symmetry_space_group_name_Hall '-P 4 2'
loop_
_atom_site_label
_atom_site_type_symbol
_atom_site_fract_x
_atom_site_fract_y
_atom_site_fract_z
_atom_site_occupancy
Sc1 Sc 0.000 0.000 0.000 1
Ag1 Ag 0.000 0.500 0.500 1
Se1 Se 0.000 0.000 0.500 1
Br1 Br 0.500 0.500 0.000 1


Entry 16:
# Er10In3Sb3 PBE-GGA optimized geometry
# * density: 8.949 g/cm3
# * total moment: 0.0 μB per formula unit
# * ΔE_f (raw): -1008.9 kJ/mol of formula units
data_Er10In3Sb3
_cell_length_a 8.8815
_cell_length_b 8.8815
_cell_length_c 6.4710
_cell_angle_alpha 90.00
_cell_angle_beta 90.00
_cell_angle_gamma 120.00
_symmetry_space_group_name_H-M 'P -6 2 m'
_symmetry_Int_Tables_number 189
_symmetry_space_group_name_Hall 'P -6 -2'
loop_
_atom_site_label
_atom_site_type_symbol
_atom_site_fract_x
_atom_site_fract_y
_atom_site_fract_z
_atom_site_occupancy
Er1 Er 0.0000 0.2369 0.0000 1
Er2 Er 0.0000 0.7640 0.5000 1
Er3 Er 0.3333 0.6667 0.2528 1
In1 In 0.0000 0.3956 0.5000 1
Sb1 Sb 0.0000 0.6049 0.0000 1


Entry 17:
# AlCuSb PBE-GGA optimized geometry
# * excess energy over the best structure of this formula in the dataset: 0.57 eV/f.u.
# * density: 6.217 g/cm3
# * total moment: 0.0 μB per formula unit
# * ΔE_f (raw): 56.4 kJ/mol of formula units
data_AlCuSb
_cell_length_a 2.973
_cell_length_b 3.765
_cell_length_c 10.132
_cell_angle_alpha 90.00
_cell_angle_beta 90.00
_cell_angle_gamma 90.00
_symmetry_space_group_name_H-M 'I m m 2'
_symmetry_Int_Tables_number 44
_symmetry_space_group_name_Hall 'I 2 -2'
loop_
_atom_site_label
_atom_site_type_symbol
_atom_site_fract_x
_atom_site_fract_y
_atom_site_fract_z
_atom_site_occupancy
Al1 Al 0.000 0.000 0.000 1
Cu1 Cu 0.000 0.000 0.604 1
Sb1 Sb 0.000 0.000 0.298 1


Entry 18:
# Ac2Nd2H PBE-GGA optimized geometry
# * density: 7.880 g/cm3
# * DFT total energy: -4.37 eV/atom
# * total moment: 0.0 μB per formula unit
data_Ac2Nd2H
_cell_length_a 5.377
_cell_length_b 5.377
_cell_length_c 5.419
_cell_angle_alpha 90.00
_cell_angle_beta 90.00
_cell_angle_gamma 90.00
_symmetry_space_group_name_H-M 'P 4/m m m'
_symmetry_Int_Tables_number 123
_symmetry_space_group_name_Hall '-P 4 2'
loop_
_atom_site_label
_atom_site_type_symbol
_atom_site_fract_x
_atom_site_fract_y
_atom_site_fract_z
_atom_site_occupancy
Ac1 Ac 0.000 0.000 0.000 1
Ac2 Ac 0.500 0.500 0.000 1
Nd1 Nd 0.000 0.500 0.500 1
H1 H 0.000 0.000 0.500 1


Entry 19:
# AcTbGa2 PBE-GGA optimized geometry
# * density: 7.737 g/cm3
# * calculated formation energy: -2.000 eV per formula unit
# * total moment: 0.0 μB per formula unit
data_AcTbGa2
_cell_length_a 8.850
_cell_length_b 4.342
_cell_length_c 11.737
_cell_angle_alpha 90.00
_cell_angle_beta 90.00
_cell_angle_gamma 90.00
_symmetry_space_group_name_H-M 'P n m a'
_symmetry_Int_Tables_number 62
_symmetry_space_group_name_Hall '-P 2ac 2n'
loop_
_atom_site_label
_atom_site_type_symbol
_atom_site_fract_x
_atom_site_fract_y
_atom_site_fract_z
_atom_site_occupancy
Ac1 Ac 0.131 0.250 0.134 1
Tb1 Tb 0.005 0.750 0.384 1
Ga1 Ga 0.161 0.250 0.830 1
Ga2 Ga 0.239 0.250 0.432 1


Entry 20:
# Ba3Pa2O7 PBE-GGA optimized geometry
# * excess energy over the best structure of this formula in the dataset: 0.00 eV/f.u.
# * density: 7.136 g/cm3
# * total moment: 1.6 μB per formula unit
# * ΔE_f (raw): -3540.5 kJ/mol of formula units
data_Ba3Pa2O7
_cell_length_a 4.477
_cell_length_b 4.477
_cell_length_c 22.895
_cell_angle_alpha 90.00
_cell_angle_beta 90.00
_cell_angle_gamma 90.00
_symmetry_space_group_name_H-M 'I 4/m m m'
_symmetry_Int_Tables_number 139
_symmetry_space_group_name_Hall '-I 4 2'
loop_
_atom_site_label
_atom_site_type_symbol
_atom_site_fract_x
_atom_site_fract_y
_atom_site_fract_z
_atom_site_occupancy
Ba1 Ba 0.000 0.000 0.000 1
Ba2 Ba 0.000 0.000 0.193 1
Pa1 Pa 0.000 0.000 0.401 1
O1 O 0.000 0.000 0.305 1
O2 O 0.000 0.000 0.500 1
O3 O 0.000 0.500 0.093 1